1.
! HfTc2P GGA-PBE relaxed; values from VASP
&SYSTEM
  ibrav = 0, nat = 8, ntyp = 3
/
ATOMIC_SPECIES
Hf 178.49 Hf.upf
Tc 98.00 Tc.upf
P 30.97 P.upf
ATOMIC_POSITIONS crystal
Hf 0.9470 0.8940 0.2500
Hf 0.0530 0.1060 0.7500
Tc 0.3581 0.7164 0.5468
Tc 0.6419 0.2836 0.4532
Tc 0.3581 0.7164 0.9532
Tc 0.6419 0.2836 0.0468
P 0.7694 0.5391 0.7500
P 0.2306 0.4609 0.2500
CELL_PARAMETERS angstrom
3.2497 0.0004 0.0000
-1.6243 4.9842 0.0000
0.0000 0.0000 7.4885
! * uncorrected energy: -77.86 eV per cell
! * ΔH_f (0 K): -0.709 eV per atom
! * ρ: 11.1 g/cm³

2.
! HfTc3P2 GGA-PBE relaxed; values from VASP
&SYSTEM
  ibrav = 0, nat = 18, ntyp = 3
/
ATOMIC_SPECIES
Hf 178.49 Hf.upf
Tc 98.00 Tc.upf
P 30.97 P.upf
ATOMIC_POSITIONS crystal
Hf 0.1652 0.3304 0.7102
Hf 0.8348 0.6696 0.2898
Hf 0.0000 0.0000 0.0000
Tc 0.0327 0.0654 0.3541
Tc 0.9673 0.9346 0.6459
Tc 0.2107 0.4213 0.3887
Tc 0.7893 0.5787 0.6113
Tc 0.6130 0.2260 0.1920
Tc 0.3870 0.7740 0.8080
Tc 0.5000 0.0000 0.5000
Tc 0.3176 0.6352 0.0344
Tc 0.6824 0.3648 0.9656
P 0.1926 0.3852 0.1325
P 0.8074 0.6148 0.8675
P 0.4570 0.9141 0.2093
P 0.5430 0.0859 0.7907
P 0.3545 0.7090 0.5424
P 0.6455 0.2910 0.4576
CELL_PARAMETERS angstrom
3.9726 0.0000 0.0000
-1.9863 7.3730 -2.2963
0.0000 0.1302 9.3252
! * uncorrected energy: -165.01 eV per cell
! * ΔH_f (0 K): -0.522 eV per atom
! * ρ: 9.7 g/cm³

3.
! Hf2Tc2P GGA-PBE relaxed; values from VASP
&SYSTEM
  ibrav = 0, nat = 5, ntyp = 3
/
ATOMIC_SPECIES
P 30.97 P.upf
Hf 178.49 Hf.upf
Tc 98.00 Tc.upf
ATOMIC_POSITIONS crystal
P 0.0000 0.0000 0.0000
Hf 0.7500 0.2500 0.5000
Hf 0.2500 0.7500 0.5000
Tc 0.3916 0.3916 0.2168
Tc 0.6084 0.6084 0.7832
CELL_PARAMETERS angstrom
4.3356 0.0000 0.0000
0.0000 4.3356 0.0000
2.1678 2.1678 5.3971
! * E above lowest polymorph: 1046 meV per atom
! * uncorrected energy: -42.71 eV per cell
! * ΔH_f (0 K): 0.667 eV per atom
! * ρ: 9.6 g/cm³

4.
! Hf2Tc2P GGA-PBE relaxed; values from VASP
&SYSTEM
  ibrav = 0, nat = 10, ntyp = 3
/
ATOMIC_SPECIES
P 30.97 P.upf
Hf 178.49 Hf.upf
Tc 98.00 Tc.upf
ATOMIC_POSITIONS crystal
P 0.0000 0.0000 0.0000
P 0.5000 0.5000 0.0000
Hf 0.1760 0.6760 0.5000
Hf 0.6760 0.8240 0.5000
Hf 0.8240 0.3240 0.5000
Hf 0.3240 0.1760 0.5000
Tc 0.3523 0.8523 0.0000
Tc 0.8523 0.6477 0.0000
Tc 0.6477 0.1477 0.0000
Tc 0.1477 0.3523 0.0000
CELL_PARAMETERS angstrom
-5.0603 3.3617 -1.2227
1.1906 -0.4147 -6.0675
-2.4468 -3.7642 -0.2229
! * E above lowest polymorph: 0 meV per atom
! * uncorrected energy: -95.89 eV per cell
! * ΔH_f (0 K): -0.379 eV per atom
! * ρ: 11.2 g/cm³

5.
! HfTcP2 GGA-PBE relaxed; values from VASP
&SYSTEM
  ibrav = 0, nat = 4, ntyp = 3
/
ATOMIC_SPECIES
P 30.97 P.upf
Hf 178.49 Hf.upf
Tc 98.00 Tc.upf
ATOMIC_POSITIONS crystal
P 0.2500 0.2500 0.2500
P 0.7500 0.7500 0.7500
Hf 0.5000 0.5000 0.5000
Tc 0.0000 0.0000 0.0000
CELL_PARAMETERS angstrom
0.0000 3.0943 3.0943
3.0943 0.0000 3.0943
3.0943 3.0943 0.0000
! * E above lowest polymorph: 100 meV per atom
! * uncorrected energy: -33.27 eV per cell
! * ΔH_f (0 K): -0.533 eV per atom
! * ρ: 9.5 g/cm³

6.
! HfTcP GGA-PBE relaxed; values from VASP
&SYSTEM
  ibrav = 0, nat = 18, ntyp = 3
/
ATOMIC_SPECIES
Hf 178.49 Hf.upf
Tc 98.00 Tc.upf
P 30.97 P.upf
ATOMIC_POSITIONS crystal
Hf 0.7513 0.0410 0.5820
Hf 0.1692 0.9590 0.4180
Hf 0.3453 0.7520 0.0039
Hf 0.3414 0.2480 0.9961
Hf 0.1577 0.4499 0.3998
Hf 0.7579 0.5501 0.6002
Tc 0.0001 0.0000 0.0000
Tc 0.0001 0.5000 0.0000
Tc 0.5071 0.3948 0.7526
Tc 0.7546 0.6052 0.2474
Tc 0.7546 0.1422 0.2474
Tc 0.5071 0.8578 0.7526
P 0.7334 0.2356 0.9713
P 0.7621 0.7644 0.0287
P 0.4217 0.1689 0.3345
P 0.0872 0.8311 0.6655
P 0.0872 0.3344 0.6655
P 0.4217 0.6656 0.3345
CELL_PARAMETERS angstrom
6.0077 0.0000 -2.9632
-1.6578 6.0297 -3.3610
0.0013 0.0429 7.5744
! * uncorrected energy: -173.21 eV per cell
! * ΔH_f (0 K): -1.046 eV per atom
! * ρ: 11.1 g/cm³

7.
! Hf3TcP GGA-PBE relaxed; values from VASP
&SYSTEM
  ibrav = 0, nat = 5, ntyp = 3
/
ATOMIC_SPECIES
P 30.97 P.upf
Hf 178.49 Hf.upf
Tc 98.00 Tc.upf
ATOMIC_POSITIONS crystal
P 0.5000 0.5000 0.5000
Hf 0.0000 0.5000 0.0000
Hf 0.0000 0.0000 0.5000
Hf 0.5000 0.0000 0.0000
Tc 0.0000 0.0000 0.0000
CELL_PARAMETERS angstrom
-1.0385 -4.0647 2.6032
4.6575 -0.1447 1.6321
-1.2673 2.7989 3.8648
! * E above lowest polymorph: 461 meV per atom
! * uncorrected energy: -42.73 eV per cell
! * ΔH_f (0 K): 0.581 eV per atom
! * ρ: 9.2 g/cm³

8.
! HfTc3P GGA-PBE relaxed; values from VASP
&SYSTEM
  ibrav = 0, nat = 5, ntyp = 3
/
ATOMIC_SPECIES
P 30.97 P.upf
Hf 178.49 Hf.upf
Tc 98.00 Tc.upf
ATOMIC_POSITIONS crystal
P 0.0000 0.0000 0.0000
Hf 0.5000 0.5000 0.5000
Tc 0.0000 0.5000 0.0000
Tc 0.0000 0.0000 0.5000
Tc 0.5000 0.0000 0.0000
CELL_PARAMETERS angstrom
-3.4748 -1.0332 2.4633
2.6677 -1.1346 3.2872
-0.1372 4.1055 1.5284
! * E above lowest polymorph: 0 meV per atom
! * uncorrected energy: -46.70 eV per cell
! * ΔH_f (0 K): -0.048 eV per atom
! * ρ: 9.9 g/cm³